CaTaGa3 | Alexandria | PBE-GGA | optimized geometry; excess energy over the best structure of this formula in the dataset = 0 meV per atom; SG = Pm-3m, No. 221
1.0
5.0280 0.0000 0.0000
0.0000 5.0280 0.0000
0.0000 0.0000 5.0280
Ca Ta Ga
1 1 3
Direct
0.0000 0.0000 0.0000 Ca
0.5000 0.5000 0.5000 Ta
0.0000 0.5000 0.5000 Ga
0.5000 0.0000 0.5000 Ga
0.5000 0.5000 0.0000 Ga



Ca2TaGa2 | Alexandria | PBE-GGA | optimized geometry; SG = P4/mbm, No. 127
1.0
7.0566 0.0000 0.0000
0.0000 7.0566 0.0000
0.0000 0.0000 4.7790
Ca Ta Ga
4 2 4
Direct
0.1752 0.3248 0.0000 Ca
0.3248 0.8248 0.0000 Ca
0.6752 0.1752 0.0000 Ca
0.8248 0.6752 0.0000 Ca
0.0000 0.0000 0.5000 Ta
0.5000 0.5000 0.5000 Ta
0.1386 0.6386 0.5000 Ga
0.3614 0.1386 0.5000 Ga
0.6386 0.8614 0.5000 Ga
0.8614 0.3614 0.5000 Ga



CaTaVGa2 | Alexandria | PBE-GGA | optimized geometry; SG = P4/mmm, No. 123
1.0
5.1283 0.0000 0.0000
0.0000 5.1283 0.0000
0.0000 0.0000 4.5516
Ca Ta V Ga
1 1 1 2
Direct
0.0000 0.0000 0.0000 Ca
0.5000 0.5000 0.5000 Ta
0.5000 0.5000 0.0000 V
0.0000 0.5000 0.5000 Ga
0.5000 0.0000 0.5000 Ga



no.,volume (A^3/atom),calculated formation energy (meV/atom)
1,25.42,17
2,23.80,44
3,23.94,445